Here is a relaxed structure of Ni2PtRh3 from the Alexandria database. Energies are from GGA-PBE.

a = 4.389 Å, b = 4.388 Å, c = 9.164 Å
α = 88.26°, β = 88.24°, γ = 108.08°
Positions (direct):
Ni 0.374 0.878 0.877
Rh 0.317 0.192 0.500
Pt 0.063 0.937 0.250
Rh 0.192 0.317 0.000
Rh 0.555 0.445 0.750
Pt 0.937 0.063 0.750
Rh 0.683 0.808 0.500
Ni 0.122 0.626 0.623
Rh 0.445 0.555 0.250
Ni 0.878 0.374 0.377
Ni 0.626 0.122 0.123
Rh 0.808 0.683 0.000

V ... 167.5 Å³ per cell
Symmetry ... C2/c
Offset from the most stable computed form ... 0.131 eV/atom
Formation energy ... 0.1379 eV per atom